No. 1
{
  "formula": "YSc2Ag",
  "functional": "GGA-PBE",
  "state": "optimized geometry",
  "lattice_angstrom": [[-4.0791, 4.0791, 3.0884], [4.0791, -4.0791, 3.0884], [4.0791, 4.0791, -3.0884]],
  "species": ["Y", "Y", "Sc", "Sc", "Sc", "Sc", "Ag", "Ag"],
  "fractional_positions": [[0.0000, 0.0000, 0.0000], [0.7500, 0.2500, 0.5000], [0.1775, 0.1250, 0.5525], [0.3750, 0.8225, 0.9475], [0.5725, 0.6250, 0.4475], [0.8750, 0.4275, 0.0525], [0.2500, 0.7500, 0.5000], [0.5000, 0.5000, 0.0000]],
  "vol_a3_per_atom": 25.69,
  "e_above_lowest_polymorph_kj_per_mol_fu": 81,
  "ef_kcal_per_mol_atoms": 2.2,
  "e_tot_ev_per_atom": -5.400
}

No. 2
{
  "formula": "NiSb2Pt",
  "functional": "GGA-PBE",
  "state": "optimized geometry",
  "lattice_angstrom": [[3.1884, 0.0000, 0.0000], [0.0000, 3.3872, 0.0000], [0.0000, 0.0000, 6.9221]],
  "species": ["Ni", "Sb", "Sb", "Pt"],
  "fractional_positions": [[0.0000, 0.0000, 0.0000], [0.5000, 0.5000, 0.2387], [0.5000, 0.5000, 0.7613], [0.0000, 0.0000, 0.5000]],
  "vol_a3_per_atom": 18.69,
  "e_above_lowest_polymorph_kj_per_mol_fu": 97,
  "formation_energy_uncorrected_ev_per_atom": 0.024,
  "e_tot_ev_per_atom": -4.993
}

No. 3
{
  "formula": "K2YMg",
  "functional": "GGA-PBE",
  "state": "optimized geometry",
  "lattice_angstrom": [[-1.8337, 2.6678, 10.1132], [1.8337, -2.6678, 10.1132], [1.8337, 2.6678, -10.1132]],
  "species": ["K", "K", "Y", "Mg"],
  "fractional_positions": [[0.1616, 0.1616, 0.0000], [0.8384, 0.8384, 0.0000], [0.5000, 0.0000, 0.5000], [0.0000, 0.5000, 0.5000]],
  "vol_a3_per_atom": 49.47,
  "ef_kcal_per_mol_atoms": 7.5,
  "e_tot_ev_per_atom": -2.238
}

No. 4
{
  "formula": "In2AgHg2",
  "functional": "GGA-PBE",
  "state": "optimized geometry",
  "lattice_angstrom": [[-2.1113, 2.1113, 7.4428], [2.1113, -2.1113, 7.4428], [2.1113, 2.1113, -7.4428]],
  "species": ["In", "In", "Ag", "Hg", "Hg"],
  "fractional_positions": [[0.2500, 0.7500, 0.5000], [0.7500, 0.2500, 0.5000], [0.0000, 0.0000, 0.0000], [0.4065, 0.4065, 0.0000], [0.5935, 0.5935, 0.0000]],
  "vol_a3_per_atom": 26.54,
  "e_above_lowest_polymorph_kj_per_mol_fu": 93,
  "ef_kcal_per_mol_atoms": 5.2,
  "e_tot_ev_per_atom": -1.562
}

No. 5
{
  "formula": "TbNd4SmDy2",
  "functional": "GGA-PBE",
  "state": "optimized geometry",
  "lattice_angstrom": [[6.2795, 0.0000, 0.0000], [0.0000, 3.6370, 0.0000], [-2.1285, 0.0000, 11.7729]],
  "species": ["Tb", "Nd", "Nd", "Nd", "Nd", "Sm", "Dy", "Dy"],
  "fractional_positions": [[0.0000, 0.0000, 0.0000], [0.2502, 0.0000, 0.7515], [0.2508, 0.5000, 0.2497], [0.7492, 0.5000, 0.7503], [0.7498, 0.0000, 0.2485], [0.0000, 0.5000, 0.5000], [0.5000, 0.0000, 0.5000], [0.5000, 0.5000, 0.0000]],
  "vol_a3_per_atom": 33.61,
  "ef_kcal_per_mol_atoms": 0.3,
  "e_tot_ev_per_atom": -4.689
}

No. 6
{
  "formula": "FeSe2NCl",
  "functional": "GGA-PBE",
  "state": "optimized geometry",
  "lattice_angstrom": [[5.0199, 0.0000, 0.0000], [0.0000, 5.0199, 0.0000], [0.0000, 0.0000, 3.3788]],
  "species": ["Fe", "Se", "Se", "N", "Cl"],
  "fractional_positions": [[0.0000, 0.0000, 0.0000], [0.0000, 0.5000, 0.0000], [0.5000, 0.0000, 0.0000], [0.0000, 0.0000, 0.5000], [0.5000, 0.5000, 0.5000]],
  "vol_a3_per_atom": 17.03,
  "formation_energy_uncorrected_ev_per_atom": 0.479,
  "e_tot_ev_per_atom": -4.642
}